# 1
Below is crystalline Li2SnPd at its relaxed geometry, with properties calculated at the PBE level.

a = 4.487 Å, b = 4.487 Å, c = 6.335 Å
α = 90.00°, β = 90.00°, γ = 90.00°
Fractional coordinates of all 8 atoms:
1 Li 0.500 0.500 0.500
2 Li 0.000 0.500 0.249
3 Li 0.000 0.000 0.000
4 Li 0.500 0.000 0.751
5 Sn 0.000 0.500 0.749
6 Sn 0.500 0.000 0.251
7 Pd 0.000 0.000 0.500
8 Pd 0.500 0.500 0.000

Calculated total energy, eV per atom: -3.838
ρ, g/cm³: 6.2
Volume, A^3/atom: 15.94


# 2
Below is crystalline Cs2TePdSe at its relaxed geometry, with properties calculated at the PBE level.

a = 7.142 Å, b = 7.142 Å, c = 7.142 Å
α = 147.31°, β = 78.19°, γ = 111.29°
Fractional coordinates of all 5 atoms:
1 Pd 0.988 0.988 0.000
2 Te 0.204 0.704 0.500
3 Cs 0.704 0.510 0.194
4 Cs 0.316 0.510 0.806
5 Se 0.790 0.290 0.500

Calculated total energy, eV per atom: -3.551
ρ, g/cm³: 5.4
Volume, A^3/atom: 35.91


# 3
Below is crystalline PaZnIr at its relaxed geometry, with properties calculated at the PBE level.

a = 4.609 Å, b = 4.609 Å, c = 4.609 Å
α = 60.00°, β = 60.00°, γ = 60.00°
Fractional coordinates of all 3 atoms:
1 Zn 0.000 0.000 0.000
2 Pa 0.250 0.250 0.250
3 Ir 0.500 0.500 0.500

Calculated total energy, eV per atom: -6.357
ρ, g/cm³: 11.7
Volume, A^3/atom: 23.07


# 4
Below is crystalline NbW8 at its relaxed geometry, with properties calculated at the PBE level.

a = 6.968 Å, b = 6.968 Å, c = 6.968 Å
α = 93.01°, β = 93.01°, γ = 153.51°
Fractional coordinates of all 9 atoms:
1 W 0.000 0.334 0.334
2 W 0.668 0.332 0.000
3 W 0.332 0.668 0.000
4 W 0.666 0.000 0.666
5 W 0.332 0.332 0.663
6 W 0.668 0.668 0.337
7 W 0.000 0.666 0.666
8 W 0.334 0.000 0.334
9 Nb 0.000 0.000 0.000

Calculated total energy, eV per atom: -12.672
ρ, g/cm³: 17.7
Volume, A^3/atom: 16.32